{
  "formula": "ScCu2NiH6",
  "functional": "PBE",
  "state": "relaxed",
  "lattice": [[-3.9374, 1.3734, 1.6616], [0.4669, -3.3957, -3.4667], [2.9941, -3.4941, 2.3602]],
  "species": ["Sc", "Cu", "Cu", "Ni", "H", "H", "H", "H", "H", "H"],
  "fractional_positions": [[0.0814, 0.5339, 0.5985], [0.5497, 0.8068, 0.2797], [0.6747, 0.2744, 0.9461], [0.9367, 0.9046, 0.8833], [0.6504, 0.0661, 0.7003], [0.4454, 0.1312, 0.1771], [0.7593, 0.7279, 0.1381], [0.1425, 0.4336, 0.2696], [0.6312, 0.5418, 0.6739], [0.0943, 0.0573, 0.6359]],
  "mass_density_g_cm3": 5.1,
  "dos_ef_per_ev_fu": 1.76,
  "energy_ev_per_atom": -4.160,
  "m_tot_mub_per_atom": 0.00
}